# GGA-PBE La4NiI2N, relaxed
data_La4NiI2N
_cell_length_a 7.189
_cell_length_b 3.924
_cell_length_c 8.396
_cell_angle_alpha 90.00
_cell_angle_beta 107.06
_cell_angle_gamma 90.00
_space_group_name_H-M_alt 'P 1 2/m 1'
_space_group_IT_number 10
loop_
_space_group_symop_operation_xyz
'x,y,z'
'-x,-y,-z'
'-x,y,-z'
'x,-y,z'
loop_
_atom_site_label
_atom_site_type_symbol
_atom_site_fract_x
_atom_site_fract_y
_atom_site_fract_z
La1 La 0.192 0.000 0.178
La2 La 0.264 0.500 0.820
Ni1 Ni 0.500 0.000 0.000
I1 I 0.000 0.000 0.500
I2 I 0.500 0.500 0.500
N1 N 0.000 0.500 0.000
# N(E_F)	7.1	states/eV/cell
# raw formation energy	-0.9564	eV per atom
# E_tot	-44.57	eV/cell

# GGA-PBE La4DyCd3, relaxed
data_La4DyCd3
_cell_length_a 3.839
_cell_length_b 5.688
_cell_length_c 11.481
_cell_angle_alpha 90.00
_cell_angle_beta 90.00
_cell_angle_gamma 90.00
_space_group_name_H-M_alt 'P m m m'
_space_group_IT_number 47
loop_
_space_group_symop_operation_xyz
'x,y,z'
'-x,-y,-z'
'-x,-y,z'
'x,y,-z'
'x,-y,-z'
'-x,y,z'
'-x,y,-z'
'x,-y,z'
loop_
_atom_site_label
_atom_site_type_symbol
_atom_site_fract_x
_atom_site_fract_y
_atom_site_fract_z
La1 La 0.000 0.000 0.000
La2 La 0.000 0.000 0.500
La3 La 0.000 0.500 0.240
Dy1 Dy 0.500 0.500 0.500
Cd1 Cd 0.500 0.000 0.256
Cd2 Cd 0.500 0.500 0.000
# ΔE_f	-0.21	eV/atom
# N(E_F)	11.6	states/eV/cell
# E_tot	-28.73	eV/cell

# GGA-PBE KAl4Pt, relaxed
data_KAl4Pt
_cell_length_a 7.741
_cell_length_b 7.741
_cell_length_c 7.741
_cell_angle_alpha 90.00
_cell_angle_beta 90.00
_cell_angle_gamma 90.00
_space_group_name_H-M_alt 'F -4 3 m'
_space_group_IT_number 216
_space_group_name_Hall 'F -4 2 3'
loop_
_atom_site_label
_atom_site_type_symbol
_atom_site_fract_x
_atom_site_fract_y
_atom_site_fract_z
K1 K 0.000 0.000 0.000
Al1 Al 0.125 0.125 0.375
Pt1 Pt 0.250 0.250 0.750
# energy above the most stable polymorph in this dataset	434	meV per atom
# ΔE_f	0.18	eV/atom
# N(E_F)	7.7	states/eV/cell
# E_tot	-84.14	eV/cell

Number 1: spin magnetization 0.0 μB per formula unit. Number 2: spin magnetization 0.0 μB per formula unit. Number 3: spin magnetization 0.0 μB per formula unit.